The following is a DFT calculation (PBE) of a relaxed In3Cl crystal.

Structure (CIF):
```
data_In3Cl
_chemical_formula_sum 'In3 Cl1'
_cell_length_a 3.5543
_cell_length_b 3.5543
_cell_length_c 9.8905
_cell_angle_alpha 90.00
_cell_angle_beta 90.00
_cell_angle_gamma 120.00
_symmetry_space_group_name_H-M 'P -6 m 2'
_symmetry_Int_Tables_number 187
_symmetry_space_group_name_Hall 'P -6 2'
loop_
_atom_site_label
_atom_site_type_symbol
_atom_site_fract_x
_atom_site_fract_y
_atom_site_fract_z
In1 In 0.0000 0.0000 0.0000
In2 In 0.6667 0.3333 0.2696
Cl1 Cl 0.0000 0.0000 0.5000
```

Results
The value obtained for the final energy is -11.11 eV/cell. The uncorrected formation energy comes out at -0.261 eV/atom.

The following is a DFT calculation (PBE) of a relaxed InCl3 crystal.

Structure (CIF):
```
data_InCl3
_chemical_formula_sum 'In3 Cl9'
_cell_length_a 4.7126
_cell_length_b 4.7126
_cell_length_c 25.2438
_cell_angle_alpha 90.00
_cell_angle_beta 90.00
_cell_angle_gamma 120.00
_symmetry_space_group_name_H-M 'R -3 m'
_symmetry_Int_Tables_number 166
_symmetry_space_group_name_Hall '-R 3 2"'
loop_
_atom_site_label
_atom_site_type_symbol
_atom_site_fract_x
_atom_site_fract_y
_atom_site_fract_z
In1 In 0.0000 0.0000 0.0000
Cl1 Cl 0.0000 0.0000 0.0905
Cl2 Cl 0.0000 0.0000 0.5000
```

Results
The value obtained for the final energy is -25.14 eV/cell. The uncorrected formation energy comes out at -0.025 eV/atom.

The following is a DFT calculation (PBE) of a relaxed InCl5 crystal.

Structure (CIF):
```
data_InCl5
_chemical_formula_sum 'In2 Cl10'
_cell_length_a 6.220
_cell_length_b 3.725
_cell_length_c 12.916
_cell_angle_alpha 90.00
_cell_angle_beta 90.00
_cell_angle_gamma 90.00
_symmetry_space_group_name_H-M 'A m m 2'
_symmetry_Int_Tables_number 38
loop_
_symmetry_equiv_pos_as_xyz
'x,y,z'
'-x,-y,z'
'-x,y,z'
'x,-y,z'
'x,y+1/2,z+1/2'
'-x,-y+1/2,z+1/2'
'-x,y+1/2,z+1/2'
'x,-y+1/2,z+1/2'
loop_
_atom_site_label
_atom_site_type_symbol
_atom_site_fract_x
_atom_site_fract_y
_atom_site_fract_z
In1 In 0.000 0.000 0.000
Cl1 Cl 0.000 0.000 0.367
Cl2 Cl 0.000 0.000 0.630
Cl3 Cl 0.500 0.000 0.107
Cl4 Cl 0.500 0.000 0.440
Cl5 Cl 0.500 0.000 0.776
```

Results
The value obtained for the final energy is -26.67 eV/cell. The uncorrected formation energy comes out at -0.227 eV/atom.

The following is a DFT calculation (PBE) of a relaxed InCl3 crystal.

Structure (CIF):
```
data_InCl3
_chemical_formula_sum 'In4 Cl12'
_cell_length_a 9.126
_cell_length_b 9.126
_cell_length_c 5.198
_cell_angle_alpha 90.00
_cell_angle_beta 90.00
_cell_angle_gamma 90.00
_symmetry_space_group_name_H-M 'I -4 2 d'
_symmetry_Int_Tables_number 122
_symmetry_space_group_name_Hall 'I -4 2bw'
loop_
_atom_site_label
_atom_site_type_symbol
_atom_site_fract_x
_atom_site_fract_y
_atom_site_fract_z
In1 In 0.000 0.000 0.000
Cl1 Cl 0.000 0.000 0.500
Cl2 Cl 0.117 0.250 0.125
```

Results
The value obtained for the final energy is -46.38 eV/cell. The uncorrected formation energy comes out at -0.829 eV/atom.

The following is a DFT calculation (PBE) of a relaxed In3Cl2 crystal.

Structure (CIF):
```
data_In3Cl2
_chemical_formula_sum 'In9 Cl6'
_cell_length_a 3.6578
_cell_length_b 3.6578
_cell_length_c 35.7903
_cell_angle_alpha 90.00
_cell_angle_beta 90.00
_cell_angle_gamma 120.00
_symmetry_space_group_name_H-M 'R -3 m'
_symmetry_Int_Tables_number 166
_symmetry_space_group_name_Hall '-R 3 2"'
loop_
_atom_site_label
_atom_site_type_symbol
_atom_site_fract_x
_atom_site_fract_y
_atom_site_fract_z
In1 In 0.0000 0.0000 0.0000
In2 In 0.0000 0.0000 0.2067
Cl1 Cl 0.0000 0.0000 0.3996
```

Results
The value obtained for the final energy is -43.64 eV/cell. The uncorrected formation energy comes out at -0.528 eV/atom.

The following is a DFT calculation (PBE) of a relaxed In3Cl crystal.

Structure (CIF):
```
data_In3Cl
_chemical_formula_sum 'In6 Cl2'
_cell_length_a 6.6193
_cell_length_b 6.6193
_cell_length_c 5.9862
_cell_angle_alpha 90.00
_cell_angle_beta 90.00
_cell_angle_gamma 120.00
_symmetry_space_group_name_H-M 'P 63/m m c'
_symmetry_Int_Tables_number 194
_symmetry_space_group_name_Hall '-P 6c 2c'
loop_
_atom_site_label
_atom_site_type_symbol
_atom_site_fract_x
_atom_site_fract_y
_atom_site_fract_z
In1 In 0.1661 0.3321 0.2500
Cl1 Cl 0.3333 0.6667 0.7500
```

Results
The value obtained for the final energy is -21.73 eV/cell. The uncorrected formation energy comes out at -0.201 eV/atom.

The following is a DFT calculation (PBE) of a relaxed In2Cl crystal.

Structure (CIF):
```
data_In2Cl
_chemical_formula_sum 'In8 Cl4'
_cell_length_a 5.221
_cell_length_b 17.122
_cell_length_c 3.674
_cell_angle_alpha 90.00
_cell_angle_beta 90.00
_cell_angle_gamma 90.00
_symmetry_space_group_name_H-M 'C m c m'
_symmetry_Int_Tables_number 63
_symmetry_space_group_name_Hall '-C 2c 2'
loop_
_atom_site_label
_atom_site_type_symbol
_atom_site_fract_x
_atom_site_fract_y
_atom_site_fract_z
In1 In 0.000 0.081 0.250
In2 In 0.000 0.254 0.750
Cl1 Cl 0.000 0.401 0.250
```

Results
The value obtained for the final energy is -34.20 eV/cell. The uncorrected formation energy comes out at -0.409 eV/atom.

The following is a DFT calculation (PBE) of a relaxed In2Cl crystal.

Structure (CIF):
```
data_In2Cl
_chemical_formula_sum 'In8 Cl4'
_cell_length_a 5.467
_cell_length_b 5.852
_cell_length_c 11.186
_cell_angle_alpha 90.00
_cell_angle_beta 90.00
_cell_angle_gamma 90.00
_symmetry_space_group_name_H-M 'I m m a'
_symmetry_Int_Tables_number 74
_symmetry_space_group_name_Hall '-I 2b 2'
loop_
_atom_site_label
_atom_site_type_symbol
_atom_site_fract_x
_atom_site_fract_y
_atom_site_fract_z
In1 In 0.000 0.250 0.015
In2 In 0.000 0.250 0.318
Cl1 Cl 0.000 0.250 0.613
```

Results
The value obtained for the final energy is -33.76 eV/cell. The uncorrected formation energy comes out at -0.372 eV/atom.